Record 1
Computed, not measured: a relaxed SmPu2Al9 crystal at the PBE level of DFT.

As for the crystal system: trigonal. As for the total magnetization: 11.25 μB/f.u. Its formation energy is -0.30 eV/atom.

abc: 9.420 9.420 9.420
angles: 34.14 34.14 34.14
Positions (direct):
1 Sm 0.000 0.000 0.000
2 Pu 0.144 0.144 0.144
3 Pu 0.856 0.856 0.856
4 Al 0.078 0.586 0.586
5 Al 0.335 0.335 0.335
6 Al 0.414 0.414 0.922
7 Al 0.414 0.922 0.414
8 Al 0.500 0.500 0.500
9 Al 0.586 0.078 0.586
10 Al 0.586 0.586 0.078
11 Al 0.665 0.665 0.665
12 Al 0.922 0.414 0.414

***

Record 2
Computed, not measured: a relaxed SmPu3Al8 crystal at the PBE level of DFT.

As for the crystal system: trigonal. As for the total magnetization: 5.23 μB/f.u. Its formation energy is -0.37 eV/atom.

abc: 9.586 9.586 9.586
angles: 33.70 33.70 33.70
Positions (direct):
1 Sm 0.000 0.000 0.000
2 Pu 0.126 0.126 0.126
3 Pu 0.501 0.501 0.501
4 Pu 0.618 0.618 0.618
5 Al 0.061 0.562 0.562
6 Al 0.062 0.062 0.561
7 Al 0.062 0.561 0.062
8 Al 0.311 0.311 0.311
9 Al 0.561 0.062 0.062
10 Al 0.562 0.061 0.562
11 Al 0.562 0.562 0.061
12 Al 0.811 0.811 0.811

***

Record 3
Computed, not measured: a relaxed SmPu3Al8 crystal at the PBE level of DFT.

As for the crystal system: trigonal. As for the total magnetization: 5.34 μB/f.u. Its formation energy is -0.35 eV/atom.

abc: 5.606 5.606 8.869
angles: 90.00 90.00 120.00
Positions (direct):
1 Sm 0.000 0.000 0.000
2 Pu 0.000 0.000 0.363
3 Pu 0.667 0.333 0.504
4 Pu 0.667 0.333 0.846
5 Al 0.161 0.323 0.677
6 Al 0.161 0.839 0.677
7 Al 0.333 0.667 0.427
8 Al 0.333 0.667 0.926
9 Al 0.506 0.012 0.180
10 Al 0.506 0.494 0.180
11 Al 0.677 0.839 0.677
12 Al 0.988 0.494 0.180

***

Ρ values, unit g/cm3, following the record order: 6.23; 7.55; 7.55.